Below is a geometry-optimized MgTlVO4 structure, with properties calculated at the PBE+U level.

Properties
* DFT total energy: -6.369 eV/atom
* mass density: 3.80 Mg/m³
* calculated volume: 150.3 Å³/cell

Lattice parameters (Å, degrees): 5.9676 5.9676 5.9676 60.00 60.00 60.00
With the nearest neighbours (Å) after each atom.
Element x y z (fractional)
Mg 0.0000 0.0000 0.0000  4 O 1.92
Tl 0.2500 0.2500 0.2500  12 O 3.52, 4 Mg 3.65
V 0.7500 0.7500 0.7500  4 O 1.73
O 0.3941 0.8686 0.8686  1 V 1.73, 1 Mg 1.92
O 0.8686 0.3941 0.8686  1 V 1.73, 1 Mg 1.92
O 0.8686 0.8686 0.3941  1 V 1.73, 1 Mg 1.92
O 0.8686 0.8686 0.8686  1 V 1.73, 1 Mg 1.92